Nd6MgZn: relaxed, PBE-GGA.

The calculation puts the formation enthalpy at 0 K at -0.079 eV/atom. The value obtained for the spin magnetization is 0.00 Bohr magnetons per cell. As for the total energy: -32.107 eV for the cell shown.

```
Nd6MgZn
1.0
5.0467 0.0002 1.5196
-0.4580 5.0257 1.5201
-0.1775 -0.1956 9.7296
Nd Mg Zn
6 1 1
direct
0.7490 0.7490 0.5019
0.6082 0.1082 0.7836
0.1082 0.6082 0.7836
0.3918 0.8918 0.2164
0.2510 0.2510 0.4981
0.8918 0.3918 0.2164
0.5000 0.5000 0.0000
0.0000 0.0000 0.0000
```


NdMg2Zn2: relaxed, PBE-GGA.

The calculation puts the formation enthalpy at 0 K at -0.213 eV/atom. The value obtained for the spin magnetization is 0.00 Bohr magnetons per cell. As for the total energy: -23.140 eV for the cell shown.

```
NdMg2Zn2
1.0
4.1837 0.0000 0.0000
-2.0919 6.4946 0.0000
0.0000 0.0000 8.2871
Nd Mg Zn
2 4 4
direct
0.4141 0.8282 0.3513
0.5859 0.1718 0.8513
0.3104 0.6209 0.9568
0.6896 0.3791 0.4568
0.1215 0.2430 0.2062
0.8785 0.7570 0.7062
0.2383 0.4766 0.6536
0.7617 0.5234 0.1536
0.9440 0.8880 0.0366
0.0560 0.1120 0.5366
```


Nd5Mg12Zn3: relaxed, PBE-GGA.

The calculation puts the formation enthalpy at 0 K at 0.564 eV/atom. The value obtained for the spin magnetization is 0.00 Bohr magnetons per cell. As for the total energy: -142.054 eV for the cell shown.

```
Nd5Mg12Zn3
1.0
15.1119 0.0000 0.0000
-5.0373 14.2476 0.0000
-5.0373 -7.1238 12.3388
Zn Nd Mg
12 20 48
direct
0.7500 0.3750 0.1250
0.8750 0.7500 0.1250
0.3750 0.7500 0.6250
0.2500 0.1250 0.3750
0.8750 0.1250 0.2500
0.3750 0.6250 0.2500
0.6250 0.3750 0.7500
0.1250 0.8750 0.7500
0.7500 0.8750 0.6250
0.6250 0.2500 0.3750
0.1250 0.2500 0.8750
0.2500 0.6250 0.8750
0.1250 0.3750 0.2500
0.0000 0.5000 0.0000
0.0000 0.0000 0.0000
0.3750 0.2500 0.1250
0.5000 0.0000 0.5000
0.5000 0.5000 0.0000
0.1250 0.7500 0.3750
0.7500 0.1250 0.8750
0.7500 0.6250 0.3750
0.3750 0.1250 0.7500
0.6250 0.8750 0.2500
0.5000 0.5000 0.5000
0.5000 0.0000 0.0000
0.0000 0.0000 0.5000
0.2500 0.3750 0.6250
0.2500 0.8750 0.1250
0.0000 0.5000 0.5000
0.8750 0.2500 0.6250
0.6250 0.7500 0.8750
0.8750 0.6250 0.7500
0.7486 0.1350 0.0921
0.3435 0.5921 0.4571
0.9079 0.3650 0.2514
0.5921 0.2486 0.1350
0.6136 0.7486 0.6565
0.9079 0.5429 0.1565
0.3435 0.7514 0.3864
0.0429 0.8864 0.1350
0.5429 0.9079 0.6565
0.7486 0.6136 0.1565
0.7514 0.4079 0.3650
0.8435 0.9571 0.0921
0.1350 0.7486 0.5921
0.3650 0.4571 0.1136
0.1136 0.9571 0.3650
0.3864 0.1350 0.5429
0.1136 0.1565 0.2486
0.4079 0.6565 0.0429
0.8435 0.8864 0.2514
0.1350 0.3864 0.0429
0.3650 0.9079 0.7514
0.5429 0.6350 0.3864
0.9571 0.8435 0.5921
0.7514 0.3435 0.8864
0.4571 0.3650 0.6136
0.0429 0.1565 0.4079
0.2486 0.6565 0.1136
0.1565 0.1136 0.7486
0.6350 0.0921 0.2486
0.8650 0.6136 0.9571
0.5921 0.3435 0.9571
0.6136 0.8650 0.4571
0.8864 0.8435 0.7514
0.8864 0.0429 0.6350
0.8650 0.2514 0.4079
0.1565 0.0429 0.9079
0.6350 0.5429 0.8864
0.4571 0.0921 0.3435
0.2514 0.3864 0.8435
0.2486 0.5921 0.6350
0.9571 0.1136 0.8650
0.6565 0.2486 0.6136
0.4079 0.7514 0.8650
0.0921 0.4571 0.8435
0.3864 0.2514 0.3435
0.0921 0.6350 0.7486
0.6565 0.4079 0.5429
0.2514 0.8650 0.9079
```


Nd2Mg2Zn15: relaxed, PBE-GGA.

The calculation puts the formation enthalpy at 0 K at -0.252 eV/atom. The value obtained for the spin magnetization is 0.00 Bohr magnetons per cell. As for the total energy: -36.617 eV for the cell shown.

```
Nd2Mg2Zn15
1.0
-2.8394 -1.7486 6.0710
-0.8881 -6.7386 -1.3337
5.7749 -2.2887 3.0642
Nd Mg Zn
2 2 15
direct
0.3413 0.3413 0.3413
0.6587 0.6587 0.6587
0.1032 0.1032 0.1032
0.8968 0.8968 0.8968
0.5000 0.0000 0.0000
0.0000 0.0000 0.5000
0.0000 0.5000 0.0000
0.0000 0.7066 0.2934
0.7066 0.2934 0.0000
0.2934 0.0000 0.7066
0.2934 0.7066 0.0000
0.7066 0.0000 0.2934
0.0000 0.2934 0.7066
0.1613 0.6467 0.6467
0.6467 0.6467 0.1613
0.6467 0.1613 0.6467
0.8387 0.3533 0.3533
0.3533 0.3533 0.8387
0.3533 0.8387 0.3533
```


NdMg2Zn6: relaxed, PBE-GGA.

The calculation puts the formation enthalpy at 0 K at -0.143 eV/atom. The value obtained for the spin magnetization is 0.00 Bohr magnetons per cell. As for the total energy: -16.891 eV for the cell shown.

```
NdMg2Zn6
1.0
-0.1385 -3.9590 0.3471
2.4767 -2.6615 -6.5897
7.0474 -2.3494 -1.2066
Nd Mg Zn
1 2 6
direct
0.0000 0.0000 0.0000
0.8750 0.6250 0.6250
0.1250 0.3750 0.3750
0.6857 0.0087 0.6198
0.3143 0.9913 0.3802
0.3143 0.3802 0.9913
0.5000 0.6756 0.3244
0.5000 0.3244 0.6756
0.6857 0.6198 0.0087
```


Nd4MgZn2: relaxed, PBE-GGA.

The calculation puts the formation enthalpy at 0 K at -0.114 eV/atom. The value obtained for the spin magnetization is 0.00 Bohr magnetons per cell. As for the total energy: -24.014 eV for the cell shown.

```
Nd4MgZn2
1.0
-0.4020 -4.5884 -2.4835
4.2479 -2.2188 -2.1011
2.7343 -6.2752 5.6383
Nd Mg Zn
4 1 2
direct
0.8667 0.8667 0.3999
0.1333 0.1333 0.6001
0.6134 0.6134 0.1598
0.3866 0.3866 0.8402
0.0000 0.0000 0.0000
0.7407 0.7407 0.7778
0.2593 0.2593 0.2222
```


Nd6MgZn5: relaxed, PBE-GGA.

The calculation puts the formation enthalpy at 0 K at -0.268 eV/atom. The value obtained for the spin magnetization is 0.00 Bohr magnetons per cell. As for the total energy: -39.792 eV for the cell shown.

```
Nd6MgZn5
1.0
-0.6571 -1.5327 4.9620
-7.2144 -1.2897 -1.3537
1.3848 -8.1838 0.4168
Mg Nd Zn
1 6 5
direct
0.0000 0.0000 0.0000
0.8293 0.7460 0.3414
0.8293 0.2540 0.3414
0.5000 0.2610 0.0000
0.5000 0.7390 0.0000
0.1707 0.7460 0.6586
0.1707 0.2540 0.6586
0.6651 0.5000 0.6698
0.3418 0.0000 0.3163
0.0000 0.5000 0.0000
0.6582 0.0000 0.6837
0.3349 0.5000 0.3302
```


NdMgZn11: relaxed, PBE-GGA.

The calculation puts the formation enthalpy at 0 K at -0.177 eV/atom. The value obtained for the spin magnetization is 0.00 Bohr magnetons per cell. As for the total energy: -22.673 eV for the cell shown.

```
NdMgZn11
1.0
4.9861 0.0367 2.0773
2.4796 6.3677 1.0331
0.0672 0.0183 6.8613
Nd Mg Zn
1 1 11
direct
0.0000 0.0000 0.0000
0.5000 0.5000 0.0000
0.2774 0.2149 0.2211
0.7226 0.7851 0.7789
0.5014 0.7851 0.2211
0.4986 0.2149 0.7789
0.3458 0.6480 0.6411
0.6542 0.3520 0.3589
0.0130 0.3520 0.6411
0.9870 0.6480 0.3589
0.0000 0.5000 0.0000
0.5000 0.0000 0.5000
0.0000 0.0000 0.5000
```


NdMg4Zn2: relaxed, PBE-GGA.

The calculation puts the formation enthalpy at 0 K at -0.151 eV/atom. The value obtained for the spin magnetization is 0.00 Bohr magnetons per cell. As for the total energy: -29.506 eV for the cell shown.

```
NdMg4Zn2
1.0
-2.1885 2.9981 2.5766
-2.4149 -6.1150 5.0643
6.8472 1.0758 4.5640
Nd Mg Zn
2 8 4
direct
0.5000 0.0000 0.0000
0.0000 0.5000 0.5000
0.0000 0.0899 0.3379
0.0000 0.9101 0.6621
0.5000 0.1621 0.5899
0.5000 0.8379 0.4101
0.5000 0.4101 0.8379
0.5000 0.5899 0.1621
0.0000 0.3379 0.0899
0.0000 0.6621 0.9101
0.0000 0.2187 0.7813
0.0000 0.7813 0.2187
0.5000 0.7187 0.7187
0.5000 0.2813 0.2813
```


Nd3Mg7Zn2: relaxed, PBE-GGA.

The calculation puts the formation enthalpy at 0 K at -0.127 eV/atom. The value obtained for the spin magnetization is 0.00 Bohr magnetons per cell. As for the total energy: -29.538 eV for the cell shown.

```
Nd3Mg7Zn2
1.0
-5.9671 0.7300 0.3231
-3.6746 -4.4214 -1.7866
-3.1763 -4.8107 8.2952
Nd Mg Zn
3 7 2
direct
0.0000 0.0000 0.0000
0.8571 0.8571 0.4286
0.1429 0.1429 0.5714
0.5000 0.5000 0.5000
0.9247 0.4209 0.2335
0.4209 0.9247 0.2335
0.4209 0.4209 0.2335
0.0753 0.5791 0.7665
0.5791 0.5791 0.7665
0.5791 0.0753 0.7665
0.6659 0.6659 0.0023
0.3341 0.3341 0.9977
```


NdMg5Zn2: relaxed, PBE-GGA.

The calculation puts the formation enthalpy at 0 K at -0.143 eV/atom. The value obtained for the spin magnetization is 0.00 Bohr magnetons per cell. As for the total energy: -16.433 eV for the cell shown.

```
NdMg5Zn2
1.0
4.0983 0.0000 0.0000
2.0491 6.7210 -0.2552
2.0491 1.7787 6.4864
Nd Mg Zn
1 5 2
direct
0.0000 0.0000 0.0000
0.0000 0.5000 0.5000
0.6512 0.5395 0.1582
0.3488 0.4605 0.8418
0.3488 0.8418 0.4605
0.6512 0.1582 0.5395
0.7308 0.7692 0.7692
0.2692 0.2308 0.2308
```


NdMg4Zn2: relaxed, PBE-GGA.

The calculation puts the formation enthalpy at 0 K at -0.173 eV/atom. The value obtained for the spin magnetization is 0.00 Bohr magnetons per cell. As for the total energy: -14.904 eV for the cell shown.

```
NdMg4Zn2
1.0
-3.5248 -1.6272 1.9937
-1.0401 -2.1831 -3.6207
4.9795 -5.3666 4.4233
Nd Mg Zn
1 4 2
direct
0.0000 0.0000 0.0000
0.5000 0.8226 0.6451
0.0000 0.6785 0.3570
0.5000 0.1774 0.3549
0.0000 0.3215 0.6430
0.5000 0.5737 0.1475
0.5000 0.4263 0.8525
```


Nd2MgZn4: relaxed, PBE-GGA.

The calculation puts the formation enthalpy at 0 K at -0.126 eV/atom. The value obtained for the spin magnetization is 0.00 Bohr magnetons per cell. As for the total energy: -17.107 eV for the cell shown.

```
Nd2MgZn4
1.0
-4.7425 0.6050 -0.9618
-3.2575 -3.2206 1.6730
-3.4869 3.4808 7.0193
Nd Mg Zn
2 1 4
direct
0.7502 0.7502 0.7495
0.2498 0.2498 0.2505
0.0000 0.0000 0.0000
0.8743 0.8743 0.3771
0.1257 0.1257 0.6229
0.6259 0.6259 0.1223
0.3741 0.3741 0.8777
```


NdMg6Zn6: relaxed, PBE-GGA.

The calculation puts the formation enthalpy at 0 K at -0.180 eV/atom. The value obtained for the spin magnetization is 0.00 Bohr magnetons per cell. As for the total energy: -24.326 eV for the cell shown.

```
NdMg6Zn6
1.0
-3.0158 4.0867 2.1319
-5.6571 1.7261 -4.1952
-5.2332 -2.4384 4.3874
Nd Mg Zn
1 6 6
direct
0.0000 0.0000 0.0000
0.3477 0.6523 0.6523
0.6523 0.3477 0.3477
0.0000 0.3464 0.6536
0.0000 0.6536 0.3464
0.3014 0.1986 0.1986
0.6986 0.8014 0.8014
0.0000 0.5000 0.0000
0.5000 0.5000 0.0000
0.0000 0.0000 0.5000
0.5000 0.0000 0.5000
0.5000 0.7756 0.2244
0.5000 0.2244 0.7756
```


Nd2MgZn3: relaxed, PBE-GGA.

The calculation puts the formation enthalpy at 0 K at -0.304 eV/atom. The value obtained for the spin magnetization is 0.00 Bohr magnetons per cell. As for the total energy: -33.555 eV for the cell shown.

```
Nd2MgZn3
1.0
-1.0108 -1.8344 4.5365
-2.6948 -1.4648 -3.9445
8.1102 -9.4725 -2.0232
Nd Mg Zn
4 2 6
direct
0.0000 0.0000 0.5000
0.3333 0.6667 0.1846
0.6667 0.3333 0.8154
0.0000 0.0000 0.0000
0.3333 0.6667 0.6609
0.6667 0.3333 0.3391
0.3333 0.6667 0.4207
0.6667 0.3333 0.0923
0.0000 0.0000 0.7429
0.0000 0.0000 0.2571
0.3333 0.6667 0.9077
0.6667 0.3333 0.5793
```


Nd11Mg9Zn4: relaxed, PBE-GGA.

The calculation puts the formation enthalpy at 0 K at -0.160 eV/atom. The value obtained for the spin magnetization is 0.00 Bohr magnetons per cell. As for the total energy: -75.733 eV for the cell shown.

```
Nd11Mg9Zn4
1.0
3.8186 0.0000 0.0000
0.0000 12.6607 -5.3932
0.0000 0.0161 13.7615
Nd Mg Zn
11 9 4
direct
0.0000 0.5842 0.9222
0.0000 0.4158 0.0778
0.0000 0.9222 0.5842
0.0000 0.0778 0.4158
0.0000 0.6427 0.3573
0.0000 0.3573 0.6427
0.0000 0.8386 0.1614
0.0000 0.1614 0.8386
0.0000 0.0000 0.0000
0.0000 0.7153 0.7153
0.0000 0.2847 0.2847
0.5000 0.6328 0.1460
0.5000 0.3672 0.8540
0.5000 0.1460 0.6328
0.5000 0.8540 0.3672
0.5000 0.7876 0.9375
0.5000 0.2124 0.0625
0.5000 0.9375 0.7876
0.5000 0.0625 0.2124
0.5000 0.5000 0.5000
0.5000 0.5475 0.7352
0.5000 0.4525 0.2648
0.5000 0.7352 0.5475
0.5000 0.2648 0.4525
```


NdMgZn2: relaxed, PBE-GGA.

The calculation puts the formation enthalpy at 0 K at -0.198 eV/atom. The value obtained for the spin magnetization is 0.00 Bohr magnetons per cell. As for the total energy: -9.703 eV for the cell shown.

```
NdMgZn2
1.0
-3.4657 0.3258 0.3306
-0.3671 -0.3997 -3.4542
-0.5716 -6.9577 0.8658
Zn Nd Mg
2 1 1
direct
0.0000 0.0000 0.7879
0.0000 0.0000 0.2121
0.5000 0.5000 0.5000
0.5000 0.5000 0.0000
```


NdMg4Zn: relaxed, PBE-GGA.

The calculation puts the formation enthalpy at 0 K at -0.128 eV/atom. The value obtained for the spin magnetization is 0.00 Bohr magnetons per cell. As for the total energy: -26.381 eV for the cell shown.

```
NdMg4Zn
1.0
4.3763 0.0000 0.0000
0.0000 7.7722 0.0000
0.0000 0.0000 8.3805
Nd Mg Zn
2 8 2
direct
0.0000 0.6173 0.7500
0.0000 0.3827 0.2500
0.0000 0.0000 0.5000
0.0000 0.0000 0.0000
0.5000 0.9477 0.7500
0.5000 0.0523 0.2500
0.5000 0.6903 0.0590
0.5000 0.3097 0.9410
0.5000 0.6903 0.4410
0.5000 0.3097 0.5590
0.0000 0.2194 0.7500
0.0000 0.7806 0.2500
```